RbSmCo2F8: optimized geometry, GGA+U.

Crystal system   triclinic
Uncorrected energy   -5.400 eV per atom

Cell lengths 5.113, 5.502, 7.875 Å; angles 78.93, 80.64, 77.33 degrees
Last column: magnetic moment on the atom in μB.
Fractional coordinates of all 12 atoms:
Rb  0.000  0.000  0.500  0.00
F  0.223  0.759  0.797  0.03
F  0.318  0.237  0.929  0.03
F  0.824  0.274  0.771  0.03
F  0.176  0.726  0.229  0.03
F  0.391  0.313  0.508  0.07
F  0.609  0.687  0.492  0.07
F  0.777  0.241  0.203  0.03
F  0.682  0.763  0.071  0.03
Co  0.547  0.550  0.288  2.77
Co  0.453  0.450  0.712  2.77
Sm  0.000  0.000  0.000  0.01